A relaxed structure of TlIn2Ir. Source: Alexandria via LeMat-Bulk, functional PBE-GGA.

Summary:
The mass density comes out at 9.09 g cm⁻³. The space group is Cmmm (65). Its energy above the most stable polymorph in this dataset is 0.1092 eV/atom. The calculated volume comes out at 114.4 Å³/cell. The calculation puts the formation energy at 0.54 eV/f.u.

POSCAR file:
```
TlIn2Ir
1.0
4.1069 0.0000 0.0000
0.0000 5.9065 0.0072
0.0000 3.5564 4.7223
In Ir Tl
2 1 1
Direct
0.0000 0.0867 0.0860
0.0000 0.4133 0.4140
0.5000 0.2500 0.2500
0.5000 0.7500 0.7500
```